Entry 1:
Density functional theory data (PBE-GGA) for Mg7ScSn4 after structural relaxation.

It has space group C2/m (No. 12), with a = 12.6780 Å, b = 5.6118 Å, c = 10.6043 Å, α = 90.00°, β = 125.29° and γ = 90.00°. The distinct sites, in fractional coordinates, are Mg at (0.0000, 0.0000, 0.0000), Mg at (0.0750, 0.5000, 0.4168), Mg at (0.1895, 0.0000, 0.9013), Mg at (0.2210, 0.0000, 0.6477), Sc at (0.0000, 0.5000, 0.0000), Sn at (0.0956, 0.0000, 0.3166) and Sn at (0.2103, 0.5000, 0.7722).

Its crystal system is monoclinic. The value obtained for the formation energy is 0.065 eV/atom. The calculation puts the total magnetization at 0.00 μB/cell.

Entry 2:
Density functional theory data (PBE-GGA) for Sr2CoRu after structural relaxation.

It has space group P4/mmm (No. 123), with a = 3.7762 Å, b = 3.7762 Å, c = 6.7715 Å, α = 90.00°, β = 90.00° and γ = 90.00°. The distinct sites, in fractional coordinates, are Sr at (0.0000, 0.0000, 0.2471), Co at (0.5000, 0.5000, 0.5000) and Ru at (0.5000, 0.5000, 0.0000).

Its crystal system is tetragonal. The value obtained for the formation energy is 0.761 eV/atom. The calculation puts the total magnetization at 1.86 μB/cell.

Entry 3:
Density functional theory data (PBE-GGA) for Tb3TlTe4O12 after structural relaxation.

It has space group R32 (No. 155, hexagonal axes), with a = 12.9462 Å, b = 12.9462 Å, c = 7.3842 Å, α = 90.00°, β = 90.00° and γ = 120.00°. The distinct sites, in fractional coordinates, are Tb at (0.0000, 0.5600, 0.0000), Tl at (0.0000, 0.0000, 0.0000), Te at (0.0000, 0.0000, 0.5000), Te at (0.0000, 0.4427, 0.5000), O at (0.0000, 0.5977, 0.5000), O at (0.0000, 0.8374, 0.5000) and O at (0.0564, 0.4695, 0.7942).

Its crystal system is trigonal. The value obtained for the formation energy from raw total energies is -1.664 eV per atom. The calculation puts the total magnetization at 0.00 μB/cell.

Entry 4:
Density functional theory data (PBE-GGA) for SrTl2Re after structural relaxation.

It has space group I-42d (No. 122), with a = 5.3351 Å, b = 5.3351 Å, c = 18.4940 Å, α = 90.00°, β = 90.00° and γ = 90.00°. The distinct sites, in fractional coordinates, are Sr at (0.0000, 0.0000, 0.0000), Tl at (0.1208, 0.2500, 0.6250) and Re at (0.0000, 0.0000, 0.5000).

The energy relative to the lowest polymorph listed for this composition comes out at 0.306 eV/atom. Its crystal system is tetragonal. The value obtained for the formation energy is 0.876 eV/atom. The calculation puts the total magnetization at 4.87 μB/cell.

Entry 5:
Density functional theory data (PBE-GGA) for CaAcGaPd after structural relaxation.

It has space group F-43m (No. 216), with a = 7.5139 Å, b = 7.5139 Å, c = 7.5139 Å, α = 90.00°, β = 90.00° and γ = 90.00°. The distinct sites, in fractional coordinates, are Ca at (0.0000, 0.0000, 0.0000), Ac at (0.0000, 0.0000, 0.5000), Ga at (0.2500, 0.2500, 0.2500) and Pd at (0.2500, 0.2500, 0.7500).

The energy relative to the lowest polymorph listed for this composition comes out at 0.077 eV/atom. Its crystal system is cubic. The value obtained for the formation energy is -0.538 eV/atom. The calculation puts the total magnetization at 0.00 μB/cell.

Entry 6:
Density functional theory data (PBE-GGA) for LiPd2Ru2 after structural relaxation.

It has space group P4/mbm (No. 127), with a = 7.7556 Å, b = 7.7556 Å, c = 2.6871 Å, α = 90.00°, β = 90.00° and γ = 90.00°. The distinct sites, in fractional coordinates, are Li at (0.0000, 0.0000, 0.0000), Pd at (0.1861, 0.3139, 0.5000) and Ru at (0.1100, 0.6100, 0.0000).

Its crystal system is tetragonal. The value obtained for the formation energy is 0.256 eV/atom. The calculation puts the total magnetization at 0.00 μB/cell.

Repeat the fifth record exactly.
Density functional theory data (PBE-GGA) for CaAcGaPd after structural relaxation.

It has space group F-43m (No. 216), with a = 7.5139 Å, b = 7.5139 Å, c = 7.5139 Å, α = 90.00°, β = 90.00° and γ = 90.00°. The distinct sites, in fractional coordinates, are Ca at (0.0000, 0.0000, 0.0000), Ac at (0.0000, 0.0000, 0.5000), Ga at (0.2500, 0.2500, 0.2500) and Pd at (0.2500, 0.2500, 0.7500).

The energy relative to the lowest polymorph listed for this composition comes out at 0.077 eV/atom. Its crystal system is cubic. The value obtained for the formation energy is -0.538 eV/atom. The calculation puts the total magnetization at 0.00 μB/cell.

> What is the total magnetization in the fifth record?

0.00 μB/cell